# 1
An optimized crystal structure of RbBeI2N. Source: the Alexandria database, functional PBE.

The space group is P4/mmm (No. 123) and the conventional cell measures 6.882, 6.882 and 5.650 Å, with angles of 90.00, 90.00 and 90.00 degrees. The distinct sites, in fractional coordinates, are Rb at (0.000, 0.000, 0.000), Be at (0.500, 0.500, 0.500), I at (0.000, 0.500, 0.000) and N at (0.000, 0.000, 0.500).

As for the raw formation energy: 1360 meV/atom.

***

# 2
An optimized crystal structure of YAlN2F. Source: the Alexandria database, functional PBE.

The space group is P4/mmm (No. 123) and the conventional cell measures 3.840, 3.840 and 3.744 Å, with angles of 90.00, 90.00 and 90.00 degrees. The distinct sites, in fractional coordinates, are Y at (0.000, 0.000, 0.000), Al at (0.500, 0.500, 0.500), N at (0.000, 0.500, 0.500) and F at (0.500, 0.500, 0.000).

As for the raw formation energy: -1553 meV/atom.

***

# 3
An optimized crystal structure of MnAsPbSe2. Source: the Alexandria database, functional PBE.

The space group is P4/mmm (No. 123) and the conventional cell measures 5.444, 5.444 and 5.379 Å, with angles of 90.00, 90.00 and 90.00 degrees. The distinct sites, in fractional coordinates, are Mn at (0.000, 0.000, 0.000), As at (0.500, 0.500, 0.000), Pb at (0.500, 0.500, 0.500) and Se at (0.000, 0.500, 0.500).

As for the raw formation energy: 937 meV/atom.

***

# 4
An optimized crystal structure of Eu5I. Source: the Alexandria database, functional PBE.

The space group is Cmmm (No. 65) and the conventional cell measures 4.098, 18.635 and 6.387 Å, with angles of 90.00, 90.00 and 90.00 degrees. The distinct sites, in fractional coordinates, are Eu at (0.000, 0.000, 0.000), Eu at (0.000, 0.157, 0.500), Eu at (0.000, 0.325, 0.000) and I at (0.000, 0.500, 0.500).

As for the raw formation energy: -221 meV/atom.

***

# 5
An optimized crystal structure of Nd2SeBr3. Source: the Alexandria database, functional PBE.

The space group is C2/m (No. 12) and the conventional cell measures 17.705, 4.293 and 12.789 Å, with angles of 90.00, 124.30 and 90.00 degrees. The distinct sites, in fractional coordinates, are Nd at (0.105, 0.000, 0.450), Nd at (0.152, 0.500, 0.862), Se at (0.093, 0.000, 0.671), Br at (0.053, 0.500, 0.254), Br at (0.147, 0.000, 0.026) and Br at (0.241, 0.500, 0.610).

As for the raw formation energy: -1749 meV/atom.

***

# 6
An optimized crystal structure of LiLaTa. Source: the Alexandria database, functional PBE.

The space group is Imm2 (No. 44) and the conventional cell measures 3.074, 4.335 and 9.880 Å, with angles of 90.00, 90.00 and 90.00 degrees. The distinct sites, in fractional coordinates, are Li at (0.000, 0.000, 0.000), La at (0.000, 0.000, 0.318) and Ta at (0.000, 0.000, 0.631).

The value obtained for the formation energy is 0.600 eV per atom.